Entry 1:
An optimized crystal structure of CaSiBi2, computed with PBE.

a b c (Å): 7.6618 7.6618 7.6618
angles (deg): 90.00 90.00 90.00
Element x y z (fractional)
Ca1 0.0000 0.0000 0.0000
Ca2 0.0000 0.5000 0.5000
Ca3 0.5000 0.0000 0.5000
Ca4 0.5000 0.5000 0.0000
Si1 0.0000 0.0000 0.5000
Si2 0.0000 0.5000 0.0000
Si3 0.5000 0.0000 0.0000
Si4 0.5000 0.5000 0.5000
Bi1 0.2500 0.2500 0.2500
Bi2 0.2500 0.2500 0.7500
Bi3 0.2500 0.7500 0.2500
Bi4 0.2500 0.7500 0.7500
Bi5 0.7500 0.2500 0.2500
Bi6 0.7500 0.2500 0.7500
Bi7 0.7500 0.7500 0.2500
Bi8 0.7500 0.7500 0.7500

ΔE to the lowest computed polymorph: 0.107 eV per atom
M_tot: 0.00 μB per cell
Raw formation energy: 0.049 eV/atom
Crystal system: cubic

=====

Entry 2:
An optimized crystal structure of NbP2ClF, computed with PBE.

a b c (Å): 4.0839 4.0839 4.9416
angles (deg): 90.00 90.00 90.00
Element x y z (fractional)
Nb1 0.0000 0.0000 0.0000
P1 0.0000 0.5000 0.5000
P2 0.5000 0.0000 0.5000
Cl1 0.5000 0.5000 0.0000
F1 0.5000 0.5000 0.5000

ΔE to the lowest computed polymorph: 0.434 eV per atom
M_tot: 1.50 μB per cell
Raw formation energy: 0.379 eV/atom
Crystal system: tetragonal

=====

Entry 3:
An optimized crystal structure of La6PtAu5, computed with PBE.

a b c (Å): 9.2270 9.2270 9.2270
angles (deg): 146.55 132.03 59.75
Element x y z (fractional)
La1 0.0828 0.3387 0.7441
La2 0.2393 0.0000 0.2393
La3 0.4054 0.6613 0.7441
La4 0.5946 0.3387 0.2559
La5 0.7607 0.0000 0.7607
La6 0.9172 0.6613 0.2559
Pt1 0.0000 0.5000 0.5000
Au1 0.1786 0.1786 0.0000
Au2 0.3339 0.8339 0.5000
Au3 0.5000 0.5000 0.0000
Au4 0.6661 0.1661 0.5000
Au5 0.8214 0.8214 0.0000

DFT formation energy: -0.83 eV/atom
M_tot: 0.00 μB per cell
Crystal system: orthorhombic

=====

Entry 4:
An optimized crystal structure of CdHCl, computed with PBE.

a b c (Å): 3.5160 3.5160 4.9551
angles (deg): 90.00 90.00 120.00
Element x y z (fractional)
Cd1 0.0000 0.0000 0.0000
H1 0.6667 0.3333 0.1259
Cl1 0.3333 0.6667 0.6387

ΔE to the lowest computed polymorph: 0.265 eV per atom
M_tot: 0.00 μB per cell
Crystal system: trigonal

=====

Entry 5:
An optimized crystal structure of LaCe3Tl3Se8, computed with PBE.

a b c (Å): 9.1614 9.1614 9.1614
angles (deg): 56.56 56.56 56.56
Element x y z (fractional)
La1 0.0000 0.0000 0.0000
Ce1 0.0000 0.5000 0.5000
Ce2 0.5000 0.0000 0.5000
Ce3 0.5000 0.5000 0.0000
Tl1 0.0000 0.0000 0.5000
Tl2 0.0000 0.5000 0.0000
Tl3 0.5000 0.0000 0.0000
Se1 0.2393 0.2393 0.7273
Se2 0.2393 0.7273 0.2393
Se3 0.2640 0.2640 0.2640
Se4 0.2727 0.7607 0.7607
Se5 0.7273 0.2393 0.2393
Se6 0.7360 0.7360 0.7360
Se7 0.7607 0.2727 0.7607
Se8 0.7607 0.7607 0.2727

M_tot: 2.01 μB per cell
Raw formation energy: -1.426 eV/atom
Crystal system: trigonal

=====

Entry 6:
An optimized crystal structure of PBr4Cl, computed with PBE.

a b c (Å): 6.1107 6.1107 6.1107
angles (deg): 60.00 60.00 60.00
Element x y z (fractional)
P1 0.0000 0.0000 0.0000
Br1 0.1247 0.6251 0.6251
Br2 0.6251 0.1247 0.6251
Br3 0.6251 0.6251 0.1247
Br4 0.6251 0.6251 0.6251
Cl1 0.2500 0.2500 0.2500

ΔE to the lowest computed polymorph: 1.342 eV per atom
M_tot: 2.20 μB per cell
Raw formation energy: 1.009 eV/atom
Crystal system: cubic

=====

Entry 7:
An optimized crystal structure of BaDyCuTe3, computed with PBE.

a b c (Å): 9.4229 4.4338 9.9003
angles (deg): 90.00 105.31 90.00
Element x y z (fractional)
Ba1 0.1909 0.2500 0.2476
Ba2 0.8091 0.7500 0.7524
Dy1 0.3252 0.7500 0.8417
Dy2 0.6748 0.2500 0.1583
Cu1 0.0762 0.2500 0.5830
Cu2 0.9238 0.7500 0.4170
Te1 0.1063 0.2500 0.8637
Te2 0.2164 0.7500 0.5247
Te3 0.4483 0.7500 0.1676
Te4 0.5517 0.2500 0.8324
Te5 0.7836 0.2500 0.4753
Te6 0.8937 0.7500 0.1363

M_tot: 0.00 μB per cell
Raw formation energy: -1.228 eV/atom
Crystal system: monoclinic

=====

Entry 8:
An optimized crystal structure of TbHoTlGa, computed with PBE.

a b c (Å): 7.3859 7.3859 7.3859
angles (deg): 90.00 90.00 90.00
Element x y z (fractional)
Tb1 0.0000 0.0000 0.0000
Tb2 0.0000 0.5000 0.5000
Tb3 0.5000 0.0000 0.5000
Tb4 0.5000 0.5000 0.0000
Ho1 0.0000 0.0000 0.5000
Ho2 0.0000 0.5000 0.0000
Ho3 0.5000 0.0000 0.0000
Ho4 0.5000 0.5000 0.5000
Tl1 0.2500 0.2500 0.2500
Tl2 0.2500 0.7500 0.7500
Tl3 0.7500 0.2500 0.7500
Tl4 0.7500 0.7500 0.2500
Ga1 0.2500 0.2500 0.7500
Ga2 0.2500 0.7500 0.2500
Ga3 0.7500 0.2500 0.2500
Ga4 0.7500 0.7500 0.7500

ΔE to the lowest computed polymorph: 0.029 eV per atom
DFT formation energy: -0.43 eV/atom
M_tot: 0.00 μB per cell
Crystal system: cubic

=====

Entry 9:
An optimized crystal structure of V2CuIrPt, computed with PBE.

a b c (Å): 4.5506 4.5506 4.5968
angles (deg): 90.00 90.00 90.00
Element x y z (fractional)
V1 0.0000 0.5000 0.0000
V2 0.5000 0.0000 0.0000
Cu1 0.0000 0.0000 0.5000
Ir1 0.0000 0.0000 0.0000
Pt1 0.5000 0.5000 0.5000

ΔE to the lowest computed polymorph: 0.000 eV per atom
DFT formation energy: 0.97 eV/atom
M_tot: 3.03 μB per cell
Crystal system: tetragonal

=====

Entry 10:
An optimized crystal structure of K2NiAs, computed with PBE.

a b c (Å): 5.2550 8.9022 4.5447
angles (deg): 90.00 90.00 90.00
Element x y z (fractional)
K1 0.2500 0.2500 0.0000
K2 0.2500 0.7500 0.0000
K3 0.7500 0.2500 0.0000
K4 0.7500 0.7500 0.0000
Ni1 0.0000 0.0000 0.5000
Ni2 0.5000 0.5000 0.5000
As1 0.0000 0.5000 0.5000
As2 0.5000 0.0000 0.5000

DFT formation energy: 0.36 eV/atom
M_tot: 1.63 μB per cell
Crystal system: orthorhombic

=====

Entry 11:
An optimized crystal structure of AcSn3Hg2, computed with PBE.

a b c (Å): 8.7941 8.7941 9.1647
angles (deg): 120.15 120.15 34.93
Element x y z (fractional)
Ac1 0.1486 0.1486 0.1991
Ac2 0.8514 0.8514 0.8009
Sn1 0.0433 0.0433 0.7162
Sn2 0.2895 0.2895 0.0054
Sn3 0.4013 0.4013 0.4703
Sn4 0.5987 0.5987 0.5297
Sn5 0.7105 0.7105 0.9946
Sn6 0.9567 0.9567 0.2838
Hg1 0.2053 0.2053 0.6115
Hg2 0.4953 0.4953 0.1500
Hg3 0.5047 0.5047 0.8500
Hg4 0.7947 0.7947 0.3885

DFT formation energy: -0.25 eV/atom
M_tot: 0.00 μB per cell
Crystal system: monoclinic

=====

Entry 12:
An optimized crystal structure of CaPPt4, computed with PBE.

a b c (Å): 5.3513 5.3513 5.3513
angles (deg): 60.00 60.00 60.00
Element x y z (fractional)
Ca1 0.0000 0.0000 0.0000
P1 0.7500 0.7500 0.7500
Pt1 0.3753 0.3753 0.3753
Pt2 0.3753 0.3753 0.8740
Pt3 0.3753 0.8740 0.3753
Pt4 0.8740 0.3753 0.3753

ΔE to the lowest computed polymorph: 0.385 eV per atom
DFT formation energy: -0.25 eV/atom
M_tot: 0.00 μB per cell
Crystal system: cubic

=====

Entry 13:
An optimized crystal structure of TbThTaC3, computed with PBE.

a b c (Å): 7.4475 3.7218 8.3760
angles (deg): 90.00 95.27 90.00
Element x y z (fractional)
Tb1 0.1255 0.2500 0.1439
Tb2 0.8745 0.7500 0.8561
Th1 0.3397 0.7500 0.8338
Th2 0.6603 0.2500 0.1662
Ta1 0.3839 0.7500 0.3986
Ta2 0.6161 0.2500 0.6014
C1 0.1254 0.2500 0.8677
C2 0.3502 0.2500 0.5078
C3 0.3836 0.7500 0.1541
C4 0.6164 0.2500 0.8459
C5 0.6498 0.7500 0.4922
C6 0.8746 0.7500 0.1323

DFT formation energy: 0.01 eV/atom
M_tot: 0.00 μB per cell
Crystal system: monoclinic

=====

Entry 14:
An optimized crystal structure of K3PaPb2Se6, computed with PBE.

a b c (Å): 7.6304 7.6304 7.9899
angles (deg): 99.20 99.20 119.96
Element x y z (fractional)
K1 0.0000 0.0000 0.0000
K2 0.3258 0.6742 0.0000
K3 0.6742 0.3258 0.0000
Pa1 0.5000 0.5000 0.5000
Pb1 0.1655 0.8345 0.5000
Pb2 0.8345 0.1655 0.5000
Se1 0.1254 0.4301 0.2902
Se2 0.2673 0.2673 0.7105
Se3 0.4301 0.1254 0.2902
Se4 0.5699 0.8746 0.7098
Se5 0.7327 0.7327 0.2895
Se6 0.8746 0.5699 0.7098

M_tot: 0.00 μB per cell
Raw formation energy: -1.161 eV/atom
Crystal system: monoclinic

=====

Entry 15:
An optimized crystal structure of PuGa3Ni, computed with PBE.

a b c (Å): 4.1345 4.1345 5.2867
angles (deg): 90.00 90.00 90.00
Element x y z (fractional)
Pu1 0.0000 0.0000 0.0000
Ga1 0.0000 0.5000 0.4780
Ga2 0.5000 0.0000 0.4780
Ga3 0.5000 0.5000 0.7983
Ni1 0.5000 0.5000 0.2397

DFT formation energy: -0.35 eV/atom
M_tot: 5.43 μB per cell
Crystal system: tetragonal

=====

Entry 16:
An optimized crystal structure of K3NaTl8, computed with PBE.

a b c (Å): 11.4373 11.4373 11.4373
angles (deg): 34.03 34.03 34.03
Element x y z (fractional)
K1 0.0000 0.0000 0.0000
K2 0.1252 0.1252 0.1252
K3 0.6219 0.6219 0.6219
Na1 0.4979 0.4979 0.4979
Tl1 0.0604 0.0604 0.5602
Tl2 0.0604 0.5602 0.0604
Tl3 0.0646 0.5620 0.5620
Tl4 0.3117 0.3117 0.3117
Tl5 0.5602 0.0604 0.0604
Tl6 0.5620 0.0646 0.5620
Tl7 0.5620 0.5620 0.0646
Tl8 0.8117 0.8117 0.8117

DFT formation energy: -0.08 eV/atom
M_tot: 0.00 μB per cell
Crystal system: trigonal

=====

Entry 17:
An optimized crystal structure of HfZr5Pt6, computed with PBE.

a b c (Å): 5.0146 6.8972 7.6533
angles (deg): 113.31 102.26 98.35
Element x y z (fractional)
Hf1 0.0000 0.0000 0.0000
Zr1 0.0000 0.5000 0.0000
Zr2 0.2519 0.7726 0.6128
Zr3 0.3420 0.3109 0.7045
Zr4 0.6580 0.6891 0.2955
Zr5 0.7481 0.2274 0.3872
Pt1 0.2328 0.9364 0.3326
Pt2 0.2560 0.3730 0.3288
Pt3 0.4524 0.7806 0.9851
Pt4 0.5476 0.2194 0.0149
Pt5 0.7440 0.6270 0.6712
Pt6 0.7672 0.0636 0.6674

DFT formation energy: -0.99 eV/atom
M_tot: 0.00 μB per cell
Crystal system: triclinic

=====

Entry 18:
An optimized crystal structure of NaDy3Os, computed with PBE.

a b c (Å): 5.4634 5.4634 5.4634
angles (deg): 90.00 90.00 90.00
Element x y z (fractional)
Na1 0.0000 0.0000 0.0000
Dy1 0.0000 0.5000 0.5000
Dy2 0.5000 0.0000 0.5000
Dy3 0.5000 0.5000 0.0000
Os1 0.5000 0.5000 0.5000

DFT formation energy: 0.01 eV/atom
M_tot: 0.00 μB per cell
Crystal system: cubic

=====

Entry 19:
An optimized crystal structure of NbAl2Se2Cl8, computed with PBE.

a b c (Å): 9.6028 10.5331 18.8859
angles (deg): 90.00 115.66 90.00
Element x y z (fractional)
Nb1 0.0785 0.1022 0.0572
Nb2 0.0785 0.3978 0.5572
Nb3 0.9215 0.6022 0.4428
Nb4 0.9215 0.8978 0.9428
Al1 0.0529 0.2187 0.2326
Al2 0.0529 0.2813 0.7326
Al3 0.3741 0.1658 0.5779
Al4 0.3741 0.3342 0.0779
Al5 0.6259 0.6658 0.9221
Al6 0.6259 0.8342 0.4221
Al7 0.9471 0.7187 0.2674
Al8 0.9471 0.7813 0.7674
Se1 0.1874 0.6314 0.5683
Se2 0.1874 0.8686 0.0683
Se3 0.1948 0.5077 0.4689
Se4 0.1948 0.9923 0.9689
Se5 0.8052 0.0077 0.0311
Se6 0.8052 0.4923 0.5311
Se7 0.8126 0.1314 0.9317
Se8 0.8126 0.3686 0.4317
Cl1 0.0119 0.6985 0.8853
Cl2 0.0119 0.8015 0.3853
Cl3 0.1287 0.0344 0.2017
Cl4 0.1287 0.4656 0.7017
Cl5 0.1303 0.1975 0.4873
Cl6 0.1303 0.3025 0.9873
Cl7 0.1400 0.6864 0.2439
Cl8 0.1400 0.8136 0.7439
Cl9 0.2406 0.1834 0.8196
Cl10 0.2406 0.3166 0.3196
Cl11 0.3701 0.1658 0.1479
Cl12 0.3701 0.3342 0.6479
Cl13 0.3890 0.5042 0.1392
Cl14 0.3890 0.9958 0.6392
Cl15 0.4693 0.6942 0.9713
Cl16 0.4693 0.8058 0.4713
Cl17 0.5307 0.1942 0.5287
Cl18 0.5307 0.3058 0.0287
Cl19 0.6110 0.0042 0.3608
Cl20 0.6110 0.4958 0.8608
Cl21 0.6299 0.6658 0.3521
Cl22 0.6299 0.8342 0.8521
Cl23 0.7594 0.6834 0.6804
Cl24 0.7594 0.8166 0.1804
Cl25 0.8600 0.1864 0.2561
Cl26 0.8600 0.3136 0.7561
Cl27 0.8697 0.6975 0.0127
Cl28 0.8697 0.8025 0.5127
Cl29 0.8713 0.5344 0.2983
Cl30 0.8713 0.9656 0.7983
Cl31 0.9881 0.1985 0.6147
Cl32 0.9881 0.3015 0.1147

M_tot: 0.00 μB per cell
Raw formation energy: -1.305 eV/atom
Crystal system: monoclinic

=====

Entry 20:
An optimized crystal structure of Hf2BiSe, computed with PBE.

a b c (Å): 4.0438 4.0438 19.5755
angles (deg): 90.00 90.00 120.00
Element x y z (fractional)
Hf1 0.0000 0.0000 0.2309
Hf2 0.0000 0.0000 0.7691
Hf3 0.3333 0.6667 0.4358
Hf4 0.3333 0.6667 0.8975
Hf5 0.6667 0.3333 0.1025
Hf6 0.6667 0.3333 0.5642
Bi1 0.0000 0.0000 0.0000
Bi2 0.3333 0.6667 0.6667
Bi3 0.6667 0.3333 0.3333
Se1 0.0000 0.0000 0.5000
Se2 0.3333 0.6667 0.1667
Se3 0.6667 0.3333 0.8333

ΔE to the lowest computed polymorph: 0.137 eV per atom
M_tot: 0.00 μB per cell
Raw formation energy: -0.432 eV/atom
Crystal system: trigonal

=====

Entry 21:
An optimized crystal structure of ErGaF, computed with PBE.

a b c (Å): 3.2107 3.2107 11.1941
angles (deg): 90.00 90.00 90.00
Element x y z (fractional)
Er1 0.0000 0.0000 0.0000
Er2 0.5000 0.5000 0.5000
Ga1 0.0000 0.0000 0.2877
Ga2 0.5000 0.5000 0.7877
F1 0.0000 0.0000 0.5561
F2 0.5000 0.5000 0.0561

ΔE to the lowest computed polymorph: 0.264 eV per atom
M_tot: 0.00 μB per cell
Raw formation energy: -1.485 eV/atom
Crystal system: tetragonal

=====

Entry 22:
An optimized crystal structure of Mn2FeN2, computed with PBE.

a b c (Å): 3.0456 3.0456 5.8372
angles (deg): 90.00 90.00 120.00
Element x y z (fractional)
Mn1 0.3333 0.6667 0.3360
Mn2 0.6667 0.3333 0.6640
Fe1 0.0000 0.0000 0.0000
N1 0.3333 0.6667 0.7535
N2 0.6667 0.3333 0.2465

ΔE to the lowest computed polymorph: 0.203 eV per atom
M_tot: 1.58 μB per cell
Raw formation energy: 0.043 eV/atom
Crystal system: trigonal

=====

Entry 23:
An optimized crystal structure of EuHgGe4, computed with PBE.

a b c (Å): 5.6996 5.6996 5.6996
angles (deg): 60.00 60.00 60.00
Element x y z (fractional)
Eu1 0.0000 0.0000 0.0000
Hg1 0.7500 0.7500 0.7500
Ge1 0.3753 0.3753 0.3753
Ge2 0.3753 0.3753 0.8742
Ge3 0.3753 0.8742 0.3753
Ge4 0.8742 0.3753 0.3753

DFT formation energy: -0.14 eV/atom
M_tot: 6.71 μB per cell
Crystal system: cubic